a.
A relaxed structure of Tc5Ir. Source: Alexandria via LeMat-Bulk, functional PBE-GGA.

abc: 3.872 11.686 3.863
angles: 90.00 90.00 90.00
Space group Cmmm (No. 65)
Unique sites:
Tc  0.000  0.000  0.000 [2 per cell]
Tc  0.000  0.165  0.500 [4 per cell]
Tc  0.000  0.334  0.000 [4 per cell]
Ir  0.000  0.500  0.500 [2 per cell]


b.
A relaxed structure of Tc5Ir. Source: Alexandria via LeMat-Bulk, functional PBE-GGA.

abc: 4.7946 4.7946 4.3729
angles: 90.00 90.00 120.00
Space group P-62m (No. 189)
Unique sites:
Tc  0.0000  0.6668  0.0000 [3 per cell]
Tc  0.3333  0.6667  0.5000 [2 per cell]
Ir  0.0000  0.0000  0.5000 [1 per cell]


Stability summary - winner: b; margin: 7.5 kJ/mol of atoms.


a.
A relaxed structure of TcIr2. Source: Alexandria via LeMat-Bulk, functional PBE-GGA.

abc: 2.742 2.742 24.020
angles: 90.00 90.00 90.00
Space group I4_1/amd (No. 141, origin choice 2)
Unique sites:
Tc  0.000  0.250  0.375 [4 per cell]
Ir  0.000  0.250  0.798 [8 per cell]


b.
A relaxed structure of TcIr2. Source: Alexandria via LeMat-Bulk, functional PBE-GGA.

abc: 3.878 3.878 23.110
angles: 90.00 90.00 90.00
Space group I4_1/amd (No. 141, origin choice 2)
Unique sites:
Tc  0.000  0.250  0.290 [8 per cell]
Ir  0.000  0.250  0.123 [8 per cell]
Ir  0.000  0.250  0.791 [8 per cell]


Stability summary - winner: b; margin: 13.7 kJ/mol of atoms.


a.
A relaxed structure of TcIr2. Source: Alexandria via LeMat-Bulk, functional PBE-GGA.

abc: 2.725 3.874 8.227
angles: 90.00 90.00 90.00
Space group Immm (No. 71)
Unique sites:
Tc  0.000  0.000  0.000 [2 per cell]
Ir  0.000  0.000  0.335 [4 per cell]


b.
A relaxed structure of TcIr2. Source: Alexandria via LeMat-Bulk, functional PBE-GGA.

abc: 4.691 6.021 3.945
angles: 90.00 90.00 90.00
Space group Pnnm (No. 58)
Unique sites:
Tc  0.000  0.000  0.000 [2 per cell]
Ir  0.207  0.384  0.000 [4 per cell]


Stability summary - winner: a; margin: 101.0 kJ/mol of atoms.


a.
A relaxed structure of Tc2Ir3. Source: Alexandria via LeMat-Bulk, functional PBE-GGA.

abc: 9.272 13.336 4.764
angles: 90.00 90.00 90.00
Space group Fdd2 (No. 43)
Unique sites:
Tc  0.028  0.296  0.000 [16 per cell]
Ir  0.000  0.000  0.459 [8 per cell]
Ir  0.037  0.399  0.478 [16 per cell]


b.
A relaxed structure of Tc2Ir3. Source: Alexandria via LeMat-Bulk, functional PBE-GGA.

abc: 9.198 4.161 8.233
angles: 90.00 90.00 90.00
Space group Pnma (No. 62)
Unique sites:
Tc  0.048  0.250  0.154 [4 per cell]
Tc  0.195  0.250  0.440 [4 per cell]
Ir  0.034  0.750  0.354 [4 per cell]
Ir  0.161  0.250  0.865 [4 per cell]
Ir  0.173  0.750  0.642 [4 per cell]


c.
A relaxed structure of Tc2Ir3. Source: Alexandria via LeMat-Bulk, functional PBE-GGA.

abc: 4.2186 4.2186 5.3076
angles: 90.00 90.00 120.00
Space group P-3m1 (No. 164)
Unique sites:
Tc  0.3333  0.6667  0.3597 [2 per cell]
Ir  0.0000  0.0000  0.5000 [1 per cell]
Ir  0.3333  0.6667  0.8722 [2 per cell]


Stability summary - winner: a; margin: 17.5 kJ/mol of atoms.